Record 1
A relaxed Ba5NaSr8 crystal. Source: Alexandria via LeMat-Bulk, functional PBE.

Results
The energy of formation from the pure elements is 0.14 eV per atom. The value obtained for the magnetic moment is 0.0 Bohr magnetons per cell.

Geometry as POSCAR:
```
Ba5NaSr8
1.0
-8.2004 0.1165 6.1359
-0.8219 -8.2431 -6.0237
8.9123 -0.7533 4.9913
Ba Na Sr
5 1 8
direct
0.2917 0.0805 0.0409
0.9605 0.9195 0.2112
0.9591 0.2508 0.0395
0.5000 0.0000 0.5000
0.7888 0.7492 0.7083
0.2500 0.5000 0.7500
0.0889 0.6978 0.4746
0.0235 0.1110 0.6436
0.5254 0.6143 0.2232
0.6089 0.3857 0.9111
0.5326 0.8890 0.9125
0.0875 0.6201 0.9765
0.3564 0.3799 0.4674
0.7768 0.3022 0.3911
```



Record 2
A relaxed Ba7NaSr12 crystal. Source: Alexandria via LeMat-Bulk, functional PBE.

Results
The energy of formation from the pure elements is 0.46 eV per atom. The value obtained for the magnetic moment is 0.0 Bohr magnetons per cell.

Geometry as POSCAR:
```
Ba7NaSr12
1.0
-8.8814 4.0867 7.9691
1.2669 -12.4949 1.1652
10.9711 5.6079 2.6969
Ba Sr Na
7 12 1
direct
0.5000 0.5000 0.5000
0.0000 0.0000 0.5000
0.5000 0.0000 0.5000
0.5000 0.5000 0.0000
0.0000 0.5000 0.5000
0.0000 0.5000 0.0000
0.5000 0.0000 0.0000
0.0873 0.8563 0.2311
0.1437 0.7689 0.9127
0.8563 0.7689 0.6252
0.3748 0.1437 0.2311
0.6252 0.8563 0.7689
0.7689 0.6252 0.8563
0.8563 0.2311 0.0873
0.9127 0.1437 0.7689
0.1437 0.2311 0.3748
0.2311 0.0873 0.8563
0.7689 0.9127 0.1437
0.2311 0.3748 0.1437
0.0000 0.0000 0.0000
```



Record 3
A relaxed Ba2Na2Sr7 crystal. Source: Alexandria via LeMat-Bulk, functional PBE.

Results
The energy relative to the lowest polymorph listed for this composition is 0 meV/atom. The energy of formation from the pure elements is 0.06 eV per atom. The value obtained for the magnetic moment is 0.0 Bohr magnetons per cell.

Geometry as POSCAR:
```
Ba2Na2Sr7
1.0
7.4148 -0.0120 -0.0260
-2.7662 6.8795 -0.0260
0.0626 0.0924 11.7877
Sr Ba Na
7 2 2
direct
0.7338 0.7338 0.2970
0.2662 0.2662 0.7030
0.4443 0.8310 0.8501
0.5557 0.1690 0.1499
0.0000 0.0000 0.0000
0.8310 0.4443 0.8501
0.1690 0.5557 0.1499
0.2567 0.7433 0.5000
0.7433 0.2567 0.5000
0.2043 0.2043 0.3694
0.7957 0.7957 0.6306
```